# Th4Sb2RuSe (PBE, optimized geometry)
data_Th4Sb2RuSe
_chemical_formula_sum 'Th4 Sb2 Ru1 Se1'
_symmetry_space_group_name_H-M 'P 1 2/m 1'
_symmetry_Int_Tables_number 10
_cell_length_a 7.552
_cell_length_b 4.256
_cell_length_c 7.721
_cell_angle_alpha 90.00
_cell_angle_beta 109.03
_cell_angle_gamma 90.00
loop_
_symmetry_equiv_pos_as_xyz
'x,y,z'
'-x,-y,-z'
'-x,y,-z'
'x,-y,z'
loop_
_atom_site_label
_atom_site_fract_x
_atom_site_fract_y
_atom_site_fract_z
Th1 0.218 0.000 0.213
Th2 0.248 0.500 0.773
Sb1 0.000 0.000 0.500
Sb2 0.500 0.500 0.500
Ru1 0.000 0.500 0.000
Se1 0.500 0.000 0.000
# Raw formation energy = -957.3 meV per atom

---

# SrAgH4Pd2 (PBE, optimized geometry)
data_SrAgH4Pd2
_chemical_formula_sum 'Sr1 Ag1 H4 Pd2'
_symmetry_space_group_name_H-M 'P 4/m m m'
_symmetry_Int_Tables_number 123
_symmetry_space_group_name_Hall '-P 4 2'
_cell_length_a 3.693
_cell_length_b 3.693
_cell_length_c 6.984
_cell_angle_alpha 90.00
_cell_angle_beta 90.00
_cell_angle_gamma 90.00
loop_
_atom_site_label
_atom_site_fract_x
_atom_site_fract_y
_atom_site_fract_z
Sr1 0.000 0.000 0.000
Ag1 0.000 0.000 0.500
H1 0.000 0.500 0.268
Pd1 0.500 0.500 0.283
# Total energy = -3.78 eV/atom

---

# Sr2ZrNpAs4 (PBE, optimized geometry)
data_Sr2ZrNpAs4
_chemical_formula_sum 'Sr2 Zr1 Np1 As4'
_symmetry_space_group_name_H-M 'P 1 2/m 1'
_symmetry_Int_Tables_number 10
_cell_length_a 7.168
_cell_length_b 4.161
_cell_length_c 7.482
_cell_angle_alpha 90.00
_cell_angle_beta 108.56
_cell_angle_gamma 90.00
loop_
_symmetry_equiv_pos_as_xyz
'x,y,z'
'-x,-y,-z'
'-x,y,-z'
'x,-y,z'
loop_
_atom_site_label
_atom_site_fract_x
_atom_site_fract_y
_atom_site_fract_z
Sr1 0.000 0.000 0.000
Sr2 0.500 0.500 0.000
Zr1 0.000 0.500 0.500
Np1 0.500 0.000 0.500
As1 0.233 0.000 0.713
As2 0.255 0.500 0.286
# Formation enthalpy at 0 K = -1.018 eV per atom

---

# IrBr (PBE, optimized geometry)
data_IrBr
_chemical_formula_sum 'Ir6 Br6'
_symmetry_space_group_name_H-M 'R -3 m'
_symmetry_Int_Tables_number 166
_symmetry_space_group_name_Hall '-R 3 2"'
_cell_length_a 4.7695
_cell_length_b 4.7695
_cell_length_c 11.0254
_cell_angle_alpha 90.00
_cell_angle_beta 90.00
_cell_angle_gamma 120.00
loop_
_atom_site_label
_atom_site_fract_x
_atom_site_fract_y
_atom_site_fract_z
Ir1 0.0000 0.0000 0.1246
Br1 0.0000 0.0000 0.3697
# ΔE to the lowest computed polymorph = 206.3 kJ/mol of formula units
# Raw formation energy = 1335.8 meV per atom

---

# Nb3ZnPb (PBE, optimized geometry)
data_Nb3ZnPb
_chemical_formula_sum 'Nb3 Zn1 Pb1'
_symmetry_space_group_name_H-M 'P m -3 m'
_symmetry_Int_Tables_number 221
_symmetry_space_group_name_Hall '-P 4 2 3'
_cell_length_a 5.144
_cell_length_b 5.144
_cell_length_c 5.144
_cell_angle_alpha 90.00
_cell_angle_beta 90.00
_cell_angle_gamma 90.00
loop_
_atom_site_label
_atom_site_fract_x
_atom_site_fract_y
_atom_site_fract_z
Nb1 0.000 0.000 0.500
Zn1 0.500 0.500 0.500
Pb1 0.000 0.000 0.000
# ΔE to the lowest computed polymorph = 504.4 kJ/mol of formula units
# Formation enthalpy at 0 K = 2.017 eV per atom

---

# Tb2Pr3Ho7 (PBE, optimized geometry)
data_Tb2Pr3Ho7
_chemical_formula_sum 'Tb2 Pr3 Ho7'
_symmetry_space_group_name_H-M 'P 1 2/m 1'
_symmetry_Int_Tables_number 10
_cell_length_a 5.841
_cell_length_b 3.579
_cell_length_c 18.841
_cell_angle_alpha 90.00
_cell_angle_beta 93.05
_cell_angle_gamma 90.00
loop_
_symmetry_equiv_pos_as_xyz
'x,y,z'
'-x,-y,-z'
'-x,y,-z'
'x,-y,z'
loop_
_atom_site_label
_atom_site_fract_x
_atom_site_fract_y
_atom_site_fract_z
Tb1 0.210 0.000 0.292
Pr1 0.000 0.000 0.000
Pr2 0.278 0.500 0.633
Ho1 0.191 0.500 0.144
Ho2 0.243 0.000 0.462
Ho3 0.307 0.000 0.826
Ho4 0.500 0.500 0.000
# Formation enthalpy at 0 K = 0.086 eV per atom

---

# PuMnVGe (PBE, optimized geometry)
data_PuMnVGe
_chemical_formula_sum 'Pu4 Mn4 V4 Ge4'
_symmetry_space_group_name_H-M 'F -4 3 m'
_symmetry_Int_Tables_number 216
_symmetry_space_group_name_Hall 'F -4 2 3'
_cell_length_a 6.250
_cell_length_b 6.250
_cell_length_c 6.250
_cell_angle_alpha 90.00
_cell_angle_beta 90.00
_cell_angle_gamma 90.00
loop_
_atom_site_label
_atom_site_fract_x
_atom_site_fract_y
_atom_site_fract_z
Pu1 0.000 0.000 0.000
Mn1 0.250 0.250 0.250
V1 0.250 0.250 0.750
Ge1 0.000 0.000 0.500
# Formation enthalpy at 0 K = -0.048 eV per atom

---

# Sr2Sb2W (PBE, optimized geometry)
data_Sr2Sb2W
_chemical_formula_sum 'Sr4 Sb4 W2'
_symmetry_space_group_name_H-M 'P 4/m b m'
_symmetry_Int_Tables_number 127
_symmetry_space_group_name_Hall '-P 4 2ab'
_cell_length_a 7.413
_cell_length_b 7.413
_cell_length_c 5.119
_cell_angle_alpha 90.00
_cell_angle_beta 90.00
_cell_angle_gamma 90.00
loop_
_atom_site_label
_atom_site_fract_x
_atom_site_fract_y
_atom_site_fract_z
Sr1 0.171 0.329 0.000
Sb1 0.150 0.650 0.500
W1 0.000 0.000 0.500
# ΔE to the lowest computed polymorph = 0.0 kJ/mol of formula units
# Raw formation energy = -96.4 meV per atom